(1)
Computed, not measured: PrEr9Th2 after structural relaxation at the GGA-PBE level of DFT.

Results
Magnetization (μB per cell): 0.00
Fermi-level density of states (states/eV per atom): 1.55

Cell lengths 4.996, 4.996, 15.029 Å; angles 90.00, 90.00, 90.00 degrees
Fractional coordinates of all 12 atoms:
1 Er 0.500 0.000 0.171
2 Er 0.500 0.000 0.829
3 Er 0.500 0.000 0.500
4 Er 0.500 0.500 0.000
5 Er 0.500 0.500 0.666
6 Er 0.000 0.500 0.500
7 Er 0.000 0.500 0.829
8 Er 0.000 0.500 0.171
9 Er 0.500 0.500 0.334
10 Th 0.000 0.000 0.665
11 Th 0.000 0.000 0.335
12 Pr 0.000 0.000 0.000


(2)
Computed, not measured: PrEr9Th2 after structural relaxation at the GGA-PBE level of DFT.

Results
Magnetization (μB per cell): 0.01
Fermi-level density of states (states/eV per atom): 1.79

Cell lengths 3.504, 11.282, 11.282 Å; angles 120.00, 90.00, 90.00 degrees
Fractional coordinates of all 12 atoms:
1 Er 0.500 0.176 0.353
2 Er 0.000 0.500 0.500
3 Er 0.500 0.647 0.824
4 Er 0.000 0.500 0.000
5 Er 0.000 0.000 0.500
6 Er 0.500 0.824 0.647
7 Er 0.500 0.824 0.176
8 Er 0.500 0.176 0.824
9 Er 0.500 0.353 0.176
10 Pr 0.000 0.000 0.000
11 Th 0.000 0.333 0.667
12 Th 0.000 0.667 0.333


Which structure is most stable? (1), by 6.7 kJ/mol of atoms over the runner-up.


(1)
Computed, not measured: Pr6Er2Th after structural relaxation at the GGA-PBE level of DFT.

Results
Magnetization (μB per cell): 0.00
Fermi-level density of states (states/eV per atom): 1.75

Cell lengths 3.671, 10.238, 10.238 Å; angles 125.52, 85.65, 85.65 degrees
Fractional coordinates of all 9 atoms:
1 Er 0.500 0.161 0.839
2 Er 0.500 0.839 0.161
3 Pr 0.326 0.327 0.327
4 Pr 0.816 0.159 0.501
5 Pr 0.674 0.673 0.673
6 Pr 0.184 0.841 0.499
7 Pr 0.816 0.501 0.159
8 Pr 0.184 0.499 0.841
9 Th 0.000 0.000 0.000


(2)
Computed, not measured: Pr6Er2Th after structural relaxation at the GGA-PBE level of DFT.

Results
Magnetization (μB per cell): 0.00
Fermi-level density of states (states/eV per atom): 1.60

Cell lengths 3.644, 3.644, 27.353 Å; angles 90.00, 90.00, 120.00 degrees
Fractional coordinates of all 9 atoms:
1 Th 0.333 0.667 0.000
2 Pr 0.667 0.333 0.108
3 Pr 0.333 0.667 0.223
4 Pr 0.667 0.333 0.892
5 Pr 0.333 0.667 0.777
6 Pr 0.333 0.667 0.567
7 Pr 0.333 0.667 0.433
8 Er 0.667 0.333 0.670
9 Er 0.667 0.333 0.330


Which structure is most stable? (2), by 5.1 kJ/mol of atoms over the runner-up.